1.
## Pm2Mg3In2 (PBE-GGA)

Data for a relaxed Pm2Mg3In2 crystal.

Results
theoretical density	5171	kg/m3
electronic total energy	-3.0684	eV per atom
total magnetization	0.22	μB per formula unit
symmetry	C2/m (12)

Cell: 6.196 6.196 7.120 Å, 101.59 101.59 45.51°
Positions (direct):
Pm  0.115  0.115  0.351
Pm  0.885  0.885  0.649
Mg  0.197  0.197  0.876
Mg  0.500  0.500  0.000
Mg  0.803  0.803  0.124
In  0.394  0.394  0.335
In  0.606  0.606  0.665


2.
## YPuCu2 (PBE-GGA)

Data for a relaxed YPuCu2 crystal.

Results
theoretical density	8998	kg/m3
electronic total energy	-7.2573	eV per atom
total magnetization	5.65	μB per formula unit
offset from the most stable computed form	0.048	eV per atom
symmetry	Fm-3m (225)

Cell: 4.933 4.933 4.933 Å, 60.00 60.00 60.00°
Positions (direct):
Y  0.000  0.000  0.000
Pu  0.500  0.500  0.500
Cu  0.250  0.250  0.250
Cu  0.750  0.750  0.750


3.
## Nd2Dy2Mg15 (PBE-GGA)

Data for a relaxed Nd2Dy2Mg15 crystal.

Results
theoretical density	3314	kg/m3
electronic total energy	-2.2488	eV per atom
total magnetization	0.00	μB per formula unit
symmetry	R-3m (166)

Cell: 7.935 7.935 7.935 Å, 83.31 83.31 83.31°
Positions (direct):
Nd  0.168  0.168  0.168
Nd  0.832  0.832  0.832
Dy  0.400  0.400  0.400
Dy  0.600  0.600  0.600
Mg  0.000  0.500  0.500
Mg  0.143  0.143  0.656
Mg  0.143  0.656  0.143
Mg  0.203  0.500  0.797
Mg  0.203  0.797  0.500
Mg  0.344  0.857  0.857
Mg  0.500  0.000  0.500
Mg  0.500  0.203  0.797
Mg  0.500  0.500  0.000
Mg  0.500  0.797  0.203
Mg  0.656  0.143  0.143
Mg  0.797  0.203  0.500
Mg  0.797  0.500  0.203
Mg  0.857  0.344  0.857
Mg  0.857  0.857  0.344


4.
## NpTc4Sn (PBE-GGA)

Data for a relaxed NpTc4Sn crystal.

Results
theoretical density	11702	kg/m3
electronic total energy	-9.5578	eV per atom
total magnetization	3.87	μB per formula unit
symmetry	F-43m (216)

Cell: 5.314 5.314 5.314 Å, 60.00 60.00 60.00°
Positions (direct):
Np  0.000  0.000  0.000
Tc  0.129  0.624  0.624
Tc  0.624  0.129  0.624
Tc  0.624  0.624  0.129
Tc  0.624  0.624  0.624
Sn  0.250  0.250  0.250


5.
## TbThHgOs (PBE-GGA)

Data for a relaxed TbThHgOs crystal.

Results
theoretical density	11642	kg/m3
electronic total energy	-6.1809	eV per atom
total magnetization	0.00	μB per formula unit
offset from the most stable computed form	0.000	eV per atom
symmetry	Cm (8)

Cell: 4.175 4.175 7.770 Å, 105.62 105.62 60.02°
Positions (direct):
Tb  0.000  0.000  0.000
Th  0.202  0.202  0.608
Hg  0.762  0.762  0.288
Os  0.600  0.600  0.800


6.
## Tb6Nd2Cd (PBE-GGA)

Data for a relaxed Tb6Nd2Cd crystal.

Results
theoretical density	7937	kg/m3
electronic total energy	-4.2778	eV per atom
total magnetization	0.00	μB per formula unit
offset from the most stable computed form	0.000	eV per atom
symmetry	P-1 (2)

Cell: 6.625 9.155 10.795 Å, 112.86 105.03 96.08°
Positions (direct):
Tb  0.032  0.307  0.440
Tb  0.062  0.310  0.116
Tb  0.278  0.029  0.557
Tb  0.281  0.024  0.888
Tb  0.395  0.640  0.110
Tb  0.408  0.634  0.439
Tb  0.592  0.366  0.561
Tb  0.605  0.360  0.890
Tb  0.719  0.976  0.112
Tb  0.722  0.971  0.443
Tb  0.938  0.690  0.884
Tb  0.968  0.693  0.560
Nd  0.047  0.310  0.770
Nd  0.279  0.042  0.231
Nd  0.721  0.958  0.769
Nd  0.953  0.690  0.230
Cd  0.388  0.638  0.779
Cd  0.612  0.362  0.221